An optimized crystal structure of AcLaSmCd, computed with PBE.

Lattice parameters (Å, degrees): 3.8628 3.8628 9.1270 90.00 90.00 90.00
Closest atoms and distances in Å follow each position.
Space group P4mm (No. 99)
Asymmetric unit:
Ac: 0.0000 0.0000 0.0000  4 Sm 3.75, 4 La 3.81, 4 Ac 3.86
La: 0.5000 0.5000 0.7092  4 Cd 3.43, 4 Ac 3.81
Sm: 0.5000 0.5000 0.2815  4 Cd 3.29
Cd: 0.0000 0.0000 0.4826  4 Sm 3.29, 4 La 3.43

Output
Energy above the lowest structure with this stoichiometry = 0.000 eV per atom

***

An optimized crystal structure of AcLaTbCd, computed with PBE.

Lattice parameters (Å, degrees): 8.1050 8.1050 8.1050 90.00 90.00 90.00
Closest atoms and distances in Å follow each position.
Space group F-43m (No. 216)
Asymmetric unit:
Ac: 0.0000 0.0000 0.0000  4 Tb 3.51, 4 La 3.51
La: 0.2500 0.2500 0.2500  4 Ac 3.51, 4 Cd 3.51
Tb: 0.2500 0.2500 0.7500  4 Cd 3.51, 4 Ac 3.51
Cd: 0.0000 0.0000 0.5000  4 La 3.51, 4 Tb 3.51

Output
Energy above the lowest structure with this stoichiometry = 0.179 eV per atom

***

An optimized crystal structure of AcLaTbCd, computed with PBE.

Lattice parameters (Å, degrees): 8.1508 8.1508 8.1508 90.00 90.00 90.00
Closest atoms and distances in Å follow each position.
Space group F-43m (No. 216)
Asymmetric unit:
Ac: 0.0000 0.0000 0.0000  4 Cd 3.53, 4 Tb 3.53
La: 0.0000 0.0000 0.5000  4 Cd 3.53, 4 Tb 3.53
Tb: 0.2500 0.2500 0.2500  4 Ac 3.53, 4 La 3.53
Cd: 0.2500 0.2500 0.7500  4 Ac 3.53, 4 La 3.53

Output
Energy above the lowest structure with this stoichiometry = 0.114 eV per atom

***

An optimized crystal structure of AcLaTbCd, computed with PBE.

Lattice parameters (Å, degrees): 3.8350 3.8350 9.1209 90.00 90.00 90.00
Closest atoms and distances in Å follow each position.
Space group P4mm (No. 99)
Asymmetric unit:
Ac: 0.0000 0.0000 0.0000  4 Tb 3.73, 4 La 3.82, 4 Ac 3.84
La: 0.5000 0.5000 0.7053  4 Cd 3.44, 4 Ac 3.82, 4 La 3.84
Tb: 0.5000 0.5000 0.2804  4 Cd 3.24
Cd: 0.0000 0.0000 0.4741  4 Tb 3.24, 4 La 3.44

Output
Energy above the lowest structure with this stoichiometry = 0.000 eV per atom

***

An optimized crystal structure of AcLaTlCd, computed with PBE.

Lattice parameters (Å, degrees): 8.0715 8.0715 8.0715 90.00 90.00 90.00
Closest atoms and distances in Å follow each position.
Space group F-43m (No. 216)
Asymmetric unit:
Ac: 0.0000 0.0000 0.0000  4 Tl 3.50, 4 Cd 3.50
La: 0.0000 0.0000 0.5000  4 Cd 3.50, 4 Tl 3.50
Tl: 0.2500 0.2500 0.2500  4 Ac 3.50, 4 La 3.50
Cd: 0.2500 0.2500 0.7500  4 Ac 3.50, 4 La 3.50

Output
Energy above the lowest structure with this stoichiometry = 0.000 eV per atom

***

An optimized crystal structure of Ac2LaTl2Cd2, computed with PBE.

Lattice parameters (Å, degrees): 5.1410 5.1410 30.2463 90.00 90.00 120.00
Closest atoms and distances in Å follow each position.
Space group R-3m (No. 166, hexagonal axes)
Asymmetric unit:
Ac: 0.0000 0.0000 0.1248  3 Tl 3.44, 3 Cd 3.66, 1 La 3.78
La: 0.0000 0.0000 0.0000  6 Cd 3.39, 6 Tl 3.60, 2 Ac 3.78
Tl: 0.0000 0.0000 0.2660  3 Cd 3.00
Cd: 0.0000 0.0000 0.3874  3 Tl 3.00

Output
Uncorrected energy = -3.03 eV/atom

***

An optimized crystal structure of AcLa5TlCd2, computed with PBE.

Lattice parameters (Å, degrees): 8.9556 8.9556 15.8018 90.00 90.00 90.00
Closest atoms and distances in Å follow each position.
Space group I4/mcm (No. 140)
Asymmetric unit:
Ac: 0.0000 0.0000 0.2500  10 La 3.76-3.95
La: 0.0000 0.0000 0.0000  4 Cd 3.64, 8 La 3.81, 2 Ac 3.95
La: 0.1994 0.3006 0.1282  3 Cd 3.16-3.52, 1 Tl 3.18
Tl: 0.0000 0.5000 0.2500  4 La 3.18
Cd: 0.1090 0.3910 0.5000  1 Cd 2.76

Output
Uncorrected energy = -3.76 eV/atom

***

An optimized crystal structure of Ac3La3Tl2Cd, computed with PBE.

Lattice parameters (Å, degrees): 9.6007 9.6007 4.0080 90.00 90.00 120.00
Closest atoms and distances in Å follow each position.
Space group P-62m (No. 189)
Asymmetric unit:
Ac: 0.0000 0.7200 0.0000  2 Cd 3.35, 2 Tl 3.48, 2 La 3.73
La: 0.0000 0.3927 0.5000  4 Tl 3.57, 6 Ac 3.73-3.91, 1 Cd 3.77
Tl: 0.3333 0.6667 0.0000  3 Ac 3.48, 6 La 3.57
Cd: 0.0000 0.0000 0.5000  6 Ac 3.35

Output
Uncorrected energy = -3.86 eV/atom

***

An optimized crystal structure of Ac2La2Tl4Cd, computed with PBE.

Lattice parameters (Å, degrees): 7.8192 7.8192 10.1749 90.00 90.00 90.00
Closest atoms and distances in Å follow each position.
Space group I4/mmm (No. 139)
Asymmetric unit:
Ac: 0.0000 0.0000 0.1954  1 Cd 3.10, 4 Tl 3.37
La: 0.0000 0.5000 0.2500  8 Tl 3.76, 4 Ac 3.95
Tl: 0.2461 0.2461 0.0000  1 Cd 2.81
Cd: 0.0000 0.0000 0.5000  4 Tl 2.81, 2 Ac 3.10

Output
Uncorrected energy = -3.26 eV/atom

***

An optimized crystal structure of AcLaTlCd, computed with PBE.

Lattice parameters (Å, degrees): 4.0264 4.0264 8.0980 90.00 90.00 90.00
Closest atoms and distances in Å follow each position.
Space group P4mm (No. 99)
Asymmetric unit:
Ac: 0.0000 0.0000 0.0000  4 Cd 3.53, 4 Tl 3.59
La: 0.0000 0.0000 0.4893  4 Cd 3.41, 4 Tl 3.45
Tl: 0.5000 0.5000 0.7290  4 La 3.45, 4 Ac 3.59, 1 Cd 3.81
Cd: 0.5000 0.5000 0.2583  4 La 3.41, 4 Ac 3.53, 1 Tl 3.81

Output
Energy above the lowest structure with this stoichiometry = 0.003 eV per atom

***

An optimized crystal structure of AcLa2Tl2Cd2, computed with PBE.

Lattice parameters (Å, degrees): 5.0369 5.0369 29.0226 90.00 90.00 120.00
Closest atoms and distances in Å follow each position.
Space group R-3m (No. 166, hexagonal axes)
Asymmetric unit:
Ac: 0.0000 0.0000 0.0000  6 Tl 3.49
La: 0.0000 0.0000 0.1405  3 Cd 3.23, 3 La 3.28, 3 Tl 3.61
Tl: 0.0000 0.0000 0.2666  3 Cd 3.00
Cd: 0.0000 0.0000 0.4251  3 Tl 3.00, 3 La 3.23

Output
Uncorrected energy = -3.18 eV/atom

***

An optimized crystal structure of Ac3La3TlCd2, computed with PBE.

Lattice parameters (Å, degrees): 9.6570 9.6570 3.8991 90.00 90.00 120.00
Closest atoms and distances in Å follow each position.
Space group P-62m (No. 189)
Asymmetric unit:
Ac: 0.0000 0.3877 0.0000  4 Cd 3.57, 6 La 3.74-3.88, 1 Tl 3.74, 2 Ac 3.90
La: 0.0000 0.7183 0.5000  2 Tl 3.35, 2 Cd 3.50, 2 Ac 3.74
Tl: 0.0000 0.0000 0.0000  6 La 3.35, 3 Ac 3.74
Cd: 0.3333 0.6667 0.5000  3 La 3.50, 6 Ac 3.57, 2 Cd 3.90

Output
Uncorrected energy = -3.67 eV/atom

***

Per-record total magnetization, μB/cell: 0.00; 0.01; 0.00; 0.00; 1.89; 0.00; 0.00; 0.00; 2.49; 0.00; 0.00; 0.00
Per-record volume, Å³/f.u.: 136.2; 133.1; 135.4; 134.1; 131.5; 230.8; 316.8; 319.9; 311.0; 131.3; 212.6; 314.9